This record from Alexandria via LeMat-Bulk describes a relaxed structure of Nd5DySb4. The functional is PBE.

E_tot in eV/atom: -5.2821
Formation energy (no corrections) in eV per atom: -0.79
Volume in A^3/atom: 35.37

Cell lengths 4.4019, 8.6786, 9.8362 Å; angles 104.66, 102.93, 90.00 degrees
Fractional positions:
1 Nd 0.5000 0.5000 0.0000
2 Nd 0.1734 0.3476 0.3467
3 Nd 0.8266 0.6524 0.6533
4 Nd 0.1649 0.8279 0.3298
5 Nd 0.8351 0.1721 0.6702
6 Sb 0.3331 0.9126 0.6663
7 Sb 0.0052 0.2491 0.0103
8 Sb 0.9948 0.7509 0.9897
9 Sb 0.6669 0.0874 0.3337
10 Dy 0.5000 0.0000 0.0000



This record from Alexandria via LeMat-Bulk describes a relaxed structure of NdDy2Sb3. The functional is PBE.

E_tot in eV/atom: -5.5346
Formation energy (no corrections) in eV per atom: -1.14
Volume in A^3/atom: 30.79

Cell lengths 4.4326, 6.2704, 7.6752 Å; angles 114.11, 106.78, 90.00 degrees
Fractional positions:
1 Dy 0.8347 0.8347 0.1695
2 Dy 0.1653 0.1653 0.8305
3 Sb 0.1715 0.6715 0.8431
4 Sb 0.8285 0.3285 0.1569
5 Sb 0.5000 0.0000 0.5000
6 Nd 0.5000 0.5000 0.5000



This record from Alexandria via LeMat-Bulk describes a relaxed structure of Nd3DySb2. The functional is PBE.

E_tot in eV/atom: -5.1397
Formation energy (no corrections) in eV per atom: -0.61
Volume in A^3/atom: 34.80

Cell lengths 7.2251, 7.9312, 9.0491 Å; angles 115.99, 113.53, 90.00 degrees
Last column: magnetic moment on the atom in μB.
Fractional positions:
1 Nd 0.7907 0.0407 0.5813  0.03
2 Nd 0.2093 0.4593 0.4187  0.03
3 Nd 0.5000 0.2500 0.0000  0.00
4 Nd 0.2093 0.9593 0.4187  0.03
5 Nd 0.5000 0.7500 0.0000  0.00
6 Nd 0.7907 0.5407 0.5813  0.03
7 Sb 0.8254 0.1445 0.2891  0.00
8 Sb 0.1746 0.8555 0.7109  0.00
9 Sb 0.5364 0.3555 0.7109  0.00
10 Sb 0.4636 0.6445 0.2891  0.00
11 Dy 0.0000 0.5000 0.0000  0.06
12 Dy 0.0000 0.0000 0.0000  0.06



This record from Alexandria via LeMat-Bulk describes a relaxed structure of Nd2DySb. The functional is PBE.

E_tot in eV/atom: -5.0933
Formation energy (no corrections) in eV per atom: -0.53
Volume in A^3/atom: 30.93

Cell lengths 4.6162, 4.6103, 11.8524 Å; angles 90.00, 101.20, 90.00 degrees
Fractional positions:
1 Sb 0.8274 0.7500 0.6544
2 Sb 0.1726 0.2500 0.3456
3 Nd 0.0633 0.7500 0.1262
4 Nd 0.9367 0.2500 0.8738
5 Nd 0.5683 0.2500 0.1368
6 Nd 0.4317 0.7500 0.8632
7 Dy 0.3057 0.2500 0.6108
8 Dy 0.6943 0.7500 0.3892